1.
# In2HgOs (GGA-PBEsol, optimized geometry)
data_In2HgOs
_symmetry_space_group_name_H-M 'P 4/m m m'
_symmetry_Int_Tables_number 123
_symmetry_space_group_name_Hall '-P 4 2'
_cell_length_a 4.306
_cell_length_b 4.306
_cell_length_c 4.009
_cell_angle_alpha 90.00
_cell_angle_beta 90.00
_cell_angle_gamma 90.00
loop_
_atom_site_label
_atom_site_type_symbol
_atom_site_fract_x
_atom_site_fract_y
_atom_site_fract_z
In1 In 0.000 0.500 0.000
Hg1 Hg 0.000 0.000 0.500
Os1 Os 0.500 0.500 0.500
# - E: -4.15 eV per atom
# - DOS at the Fermi energy: 2.558 states/eV/cell

***

2.
# InHg2Os (GGA-PBEsol, optimized geometry)
data_InHg2Os
_symmetry_space_group_name_H-M 'I -4 m 2'
_symmetry_Int_Tables_number 119
_symmetry_space_group_name_Hall 'I -4 -2'
_cell_length_a 4.076
_cell_length_b 4.076
_cell_length_c 8.856
_cell_angle_alpha 90.00
_cell_angle_beta 90.00
_cell_angle_gamma 90.00
loop_
_atom_site_label
_atom_site_type_symbol
_atom_site_fract_x
_atom_site_fract_y
_atom_site_fract_z
In1 In 0.000 0.000 0.000
Hg1 Hg 0.000 0.000 0.500
Hg2 Hg 0.000 0.500 0.750
Os1 Os 0.000 0.500 0.250
# - E: -3.53 eV per atom
# - DOS at the Fermi energy: 5.480 states/eV/cell

***

3.
# In2HgOs (GGA-PBEsol, optimized geometry)
data_In2HgOs
_symmetry_space_group_name_H-M 'P 4/m m m'
_symmetry_Int_Tables_number 123
_symmetry_space_group_name_Hall '-P 4 2'
_cell_length_a 4.937
_cell_length_b 4.937
_cell_length_c 3.103
_cell_angle_alpha 90.00
_cell_angle_beta 90.00
_cell_angle_gamma 90.00
loop_
_atom_site_label
_atom_site_type_symbol
_atom_site_fract_x
_atom_site_fract_y
_atom_site_fract_z
In1 In 0.000 0.500 0.000
Hg1 Hg 0.000 0.000 0.500
Os1 Os 0.500 0.500 0.500
# - E: -4.21 eV per atom
# - DOS at the Fermi energy: 2.964 states/eV/cell